1.
! Bi4RuBr2 PBE relaxed; values from VASP
&SYSTEM
  ibrav = 0, nat = 14, ntyp = 3
/
ATOMIC_SPECIES
Bi 208.98 Bi.upf
Ru 101.07 Ru.upf
Br 79.90 Br.upf
CELL_PARAMETERS angstrom
9.186 0.129 0.437
6.530 6.462 0.437
7.322 3.071 8.990
ATOMIC_POSITIONS crystal
Bi 0.440 0.440 0.391
Bi 0.560 0.560 0.609
Bi 0.334 0.334 0.726
Bi 0.666 0.666 0.274
Bi 0.819 0.819 0.603
Bi 0.181 0.181 0.397
Bi 0.076 0.076 0.241
Bi 0.924 0.924 0.759
Ru 0.209 0.791 0.500
Ru 0.791 0.209 0.500
Br 0.868 0.868 0.308
Br 0.132 0.132 0.692
Br 0.682 0.682 0.951
Br 0.318 0.318 0.049
! space group = C2/m (12)
! formation energy from raw total energies = -2.199 eV/f.u.
! D(E_F) = 0.1 states/eV per cell

=====

2.
! DyEr3 PBE relaxed; values from VASP
&SYSTEM
  ibrav = 0, nat = 8, ntyp = 2
/
ATOMIC_SPECIES
Dy 162.50 Dy.upf
Er 167.26 Er.upf
CELL_PARAMETERS angstrom
7.159 0.000 0.000
-3.580 6.200 0.000
0.000 0.000 5.575
ATOMIC_POSITIONS crystal
Dy 0.333 0.667 0.750
Dy 0.667 0.333 0.250
Er 0.166 0.333 0.250
Er 0.667 0.834 0.250
Er 0.166 0.834 0.250
Er 0.834 0.667 0.750
Er 0.333 0.166 0.750
Er 0.834 0.166 0.750
! space group = P6_3/mmc (194)
! D(E_F) = 16.2 states/eV per cell
! energy above the most stable polymorph in this dataset = 0.004 eV/atom